Record 1
This record from Alexandria describes LiMoC3 at its PBEsol-relaxed geometry. The functional is SCAN.

Cell lengths 3.474, 3.474, 3.474 Å; angles 90.00, 90.00, 90.00 degrees
Sites, in units of the cell vectors:
1 C 0.000 0.000 0.500
2 C 0.500 0.000 0.000
3 C 0.000 0.500 0.000
4 Li 0.000 0.000 0.000
5 Mo 0.500 0.500 0.500

Output
**D(E_F)**: 3.3 states/eV/f.u.
**Space-group type**: Pm-3m
**Calculated formation energy**: 2.64 eV/atom


Record 2
This record from Alexandria describes LiMoC2 at its PBEsol-relaxed geometry. The functional is SCAN.

Cell lengths 3.666, 3.666, 3.666 Å; angles 60.00, 60.00, 60.00 degrees
Each line ends with the local moment (μB).
Sites, in units of the cell vectors:
1 Mo 0.500 0.500 0.500  0.76
2 C 0.750 0.750 0.750  -0.07
3 C 0.250 0.250 0.250  -0.07
4 Li 0.000 0.000 0.000  0.00

Output
**D(E_F)**: 1.7 states/eV/f.u.
**Space-group type**: Fm-3m
**Calculated formation energy**: 1.12 eV/atom


Record 3
This record from Alexandria describes LiMo2C2 at its PBEsol-relaxed geometry. The functional is SCAN.

Cell lengths 3.929, 3.929, 5.523 Å; angles 110.84, 110.84, 90.00 degrees
Sites, in units of the cell vectors:
1 Mo 0.750 0.250 0.500
2 Mo 0.250 0.750 0.500
3 C 0.685 0.685 0.370
4 C 0.315 0.315 0.630
5 Li 0.000 0.000 0.000

Output
**D(E_F)**: 2.2 states/eV/f.u.
**Space-group type**: I4/mmm
**Calculated formation energy**: 0.41 eV/atom


Record 4
This record from Alexandria describes RbLi2MoC at its PBEsol-relaxed geometry. The functional is SCAN.

Cell lengths 4.098, 4.777, 4.777 Å; angles 90.00, 90.00, 90.00 degrees
Each line ends with the local moment (μB).
Sites, in units of the cell vectors:
1 C 0.000 0.000 0.000  -0.11
2 Li 0.000 0.500 0.000  0.00
3 Li 0.000 0.000 0.500  0.00
4 Mo 0.500 0.000 0.000  2.11
5 Rb 0.500 0.500 0.500  0.03

Output
**D(E_F)**: 2.1 states/eV/f.u.
**Space-group type**: P4/mmm
**Calculated formation energy**: 0.73 eV/atom


Record 5
This record from Alexandria describes SrLi2MoC at its PBEsol-relaxed geometry. The functional is SCAN.

Cell lengths 4.335, 4.335, 4.855 Å; angles 90.00, 90.00, 90.00 degrees
Each line ends with the local moment (μB).
Sites, in units of the cell vectors:
1 Mo 0.000 0.000 0.500  1.20
2 C 0.500 0.500 0.500  0.08
3 Li 0.500 0.000 0.000  -0.01
4 Li 0.000 0.500 0.000  -0.01
5 Sr 0.000 0.000 0.000  -0.01

Output
**D(E_F)**: 1.4 states/eV/f.u.
**Space-group type**: P4/mmm
**Calculated formation energy**: 2.95 eV/atom


Record 6
This record from Alexandria describes NaLi3C at its PBEsol-relaxed geometry. The functional is SCAN.

Cell lengths 4.174, 4.174, 4.174 Å; angles 90.00, 90.00, 90.00 degrees
Sites, in units of the cell vectors:
1 Li 0.000 0.500 0.000
2 Li 0.500 0.000 0.000
3 Li 0.000 0.000 0.500
4 C 0.000 0.000 0.000
5 Na 0.500 0.500 0.500

Output
**D(E_F)**: 1.1 states/eV/f.u.
**Space-group type**: Pm-3m
**Calculated formation energy**: 0.30 eV/atom


Which of these has the highest calculated formation energy? SrLi2MoC